Entry 1:
# ZrHg2BiF

ZrHg2BiF at its PBEsol-relaxed geometry (SCAN, the Alexandria database).

Summary:
- crystal system = tetragonal
- energy (eV for the cell shown) = -251.71
- total magnetization (μB per cell) = 0.00

Cell lengths 5.1536, 5.1536, 4.1828 Å; angles 90.00, 90.00, 90.00 degrees
With the nearest neighbours (Å) after each atom.
Element x y z (fractional)
1 Zr 0.0000 0.0000 0.0000  2 F 2.09
2 Hg 0.0000 0.5000 0.5000  2 F 2.58
3 Hg 0.5000 0.0000 0.5000  2 F 2.58
4 Bi 0.5000 0.5000 0.0000  8 Hg 3.32, 4 Zr 3.64
5 F 0.0000 0.0000 0.5000  2 Zr 2.09

---

Entry 2:
# Si2IrRu

Si2IrRu at its PBEsol-relaxed geometry (SCAN, the Alexandria database).

Summary:
- crystal system = monoclinic
- energy (eV for the cell shown) = -127.99
- total magnetization (μB per cell) = 0.00

Cell lengths 4.1343, 4.1343, 4.8794 Å; angles 101.32, 101.32, 39.82 degrees
With the nearest neighbours (Å) after each atom.
Element x y z (fractional)
1 Si 0.2487 0.2487 0.2435  3 Ru 2.48-2.49, 3 Ir 2.51-2.52, 2 Si 2.77
2 Si 0.7513 0.7513 0.7565  3 Ru 2.48-2.49, 3 Ir 2.51-2.52, 2 Si 2.77
3 Ir 0.0000 0.0000 0.5000  6 Si 2.51-2.52
4 Ru 0.5000 0.5000 0.0000  6 Si 2.48-2.49

---

Entry 3:
# Pt2Rh

Pt2Rh at its PBEsol-relaxed geometry (SCAN, the Alexandria database).

Summary:
- crystal system = trigonal
- energy relative to the elements (eV per atom) = 0.01
- total magnetization (μB per cell) = 1.20

Cell lengths 2.7394, 2.7394, 6.6835 Å; angles 90.00, 90.00, 120.00 degrees
With the nearest neighbours (Å) after each atom.
Element x y z (fractional)
1 Pt 0.3333 0.6667 0.1720  3 Rh 2.70, 9 Pt 2.74-2.79
2 Pt 0.6667 0.3333 0.8280  3 Rh 2.70, 9 Pt 2.74-2.79
3 Rh 0.0000 0.0000 0.5000  6 Pt 2.70, 6 Rh 2.74

---

Entry 4:
# InTcTeN2

InTcTeN2 at its PBEsol-relaxed geometry (SCAN, the Alexandria database).

Summary:
- crystal system = tetragonal
- energy (eV for the cell shown) = -121.65
- total magnetization (μB per cell) = 0.00

Cell lengths 3.9322, 3.9322, 5.5293 Å; angles 90.00, 90.00, 90.00 degrees
With the nearest neighbours (Å) after each atom.
Element x y z (fractional)
1 In 0.0000 0.0000 0.0000  4 Te 2.78
2 Tc 0.5000 0.5000 0.5000  4 N 1.97
3 Te 0.5000 0.5000 0.0000  2 Tc 2.76, 4 In 2.78
4 N 0.0000 0.5000 0.5000  2 Tc 1.97
5 N 0.5000 0.0000 0.5000  2 Tc 1.97

---

Entry 5:
# Na2MgCl4

Na2MgCl4 at its PBEsol-relaxed geometry (SCAN, the Alexandria database).

Summary:
- crystal system = orthorhombic
- energy (eV for the cell shown) = -119.44
- total magnetization (μB per cell) = 0.00

Cell lengths 6.8784, 11.7827, 3.7903 Å; angles 90.00, 90.00, 90.00 degrees
With the nearest neighbours (Å) after each atom.
Element x y z (fractional)
1 Na 0.0858 0.1807 0.0000  6 Cl 2.77-2.92
2 Na 0.4142 0.6807 0.0000  6 Cl 2.77-2.92
3 Na 0.5858 0.3193 0.0000  6 Cl 2.77-2.92
4 Na 0.9142 0.8193 0.0000  6 Cl 2.77-2.92
5 Mg 0.0000 0.5000 0.5000  6 Cl 2.46-2.55
6 Mg 0.5000 0.0000 0.5000  6 Cl 2.46-2.55
7 Cl 0.1213 0.6965 0.5000  1 Mg 2.46
8 Cl 0.2362 0.4557 0.0000  2 Mg 2.55
9 Cl 0.2638 0.9557 0.0000  2 Mg 2.55
10 Cl 0.3787 0.1965 0.5000  1 Mg 2.46
11 Cl 0.6213 0.8035 0.5000  1 Mg 2.46
12 Cl 0.7362 0.0443 0.0000  2 Mg 2.55
13 Cl 0.7638 0.5443 0.0000  2 Mg 2.55
14 Cl 0.8787 0.3035 0.5000  1 Mg 2.46

---

Entry 6:
# TaAuSe2

TaAuSe2 at its PBEsol-relaxed geometry (SCAN, the Alexandria database).

Summary:
- crystal system = tetragonal
- total magnetization (μB per cell) = 0.00
- energy above the most stable polymorph in this dataset (meV/atom) = 0

Cell lengths 6.7959, 6.7959, 6.7959 Å; angles 126.86, 126.86, 78.47 degrees
With the nearest neighbours (Å) after each atom.
Element x y z (fractional)
1 Ta 0.0000 0.0000 0.0000  4 Se 2.47
2 Ta 0.7500 0.2500 0.5000  4 Se 2.47
3 Au 0.2500 0.7500 0.5000  4 Se 2.57
4 Au 0.5000 0.5000 0.0000  4 Se 2.57
5 Se 0.1107 0.6250 0.9857  2 Ta 2.47, 2 Au 2.57
6 Se 0.3750 0.3607 0.4857  2 Ta 2.47, 2 Au 2.57
7 Se 0.6393 0.1250 0.0143  2 Ta 2.47, 2 Au 2.57
8 Se 0.8750 0.8893 0.5143  2 Ta 2.47, 2 Au 2.57

---

Entry 7:
# HfTa2MoPt

HfTa2MoPt at its PBEsol-relaxed geometry (SCAN, the Alexandria database).

Summary:
- crystal system = tetragonal
- energy relative to the elements (eV per atom) = 1.23
- total magnetization (μB per cell) = 0.00

Cell lengths 4.6859, 4.6859, 4.8088 Å; angles 90.00, 90.00, 90.00 degrees
With the nearest neighbours (Å) after each atom.
Element x y z (fractional)
1 Hf 0.0000 0.0000 0.0000  2 Mo 2.40
2 Ta 0.0000 0.5000 0.5000  2 Mo 2.34
3 Ta 0.5000 0.0000 0.5000  2 Mo 2.34
4 Mo 0.0000 0.0000 0.5000  4 Ta 2.34, 2 Hf 2.40
5 Pt 0.5000 0.5000 0.0000  4 Hf 3.31, 8 Ta 3.36

---

Entry 8:
# Cu2RhSe

Cu2RhSe at its PBEsol-relaxed geometry (SCAN, the Alexandria database).

Summary:
- crystal system = trigonal
- energy (eV for the cell shown) = -83.03
- total magnetization (μB per cell) = 0.00

Cell lengths 8.1388, 8.1388, 8.1388 Å; angles 20.02, 20.02, 20.02 degrees
With the nearest neighbours (Å) after each atom.
Element x y z (fractional)
1 Cu 0.2500 0.2500 0.2500  3 Rh 2.58, 3 Se 2.58, 6 Cu 2.83
2 Cu 0.7500 0.7500 0.7500  3 Rh 2.58, 3 Se 2.58, 6 Cu 2.83
3 Rh 0.0000 0.0000 0.0000  6 Cu 2.58, 6 Rh 2.83
4 Se 0.5000 0.5000 0.5000  6 Cu 2.58, 6 Se 2.83

---

Entry 9:
# KCoAg2Mo

KCoAg2Mo at its PBEsol-relaxed geometry (SCAN, the Alexandria database).

Summary:
- crystal system = tetragonal
- energy relative to the elements (eV per atom) = 1.48
- total magnetization (μB per cell) = 6.51

Cell lengths 4.8137, 4.8137, 4.7434 Å; angles 90.00, 90.00, 90.00 degrees
With the nearest neighbours (Å) after each atom.
Element x y z (fractional)
1 K 0.0000 0.0000 0.0000  2 Co 2.37
2 Co 0.0000 0.0000 0.5000  2 K 2.37, 4 Ag 2.41
3 Ag 0.0000 0.5000 0.5000  2 Co 2.41
4 Ag 0.5000 0.0000 0.5000  2 Co 2.41
5 Mo 0.5000 0.5000 0.0000  8 Ag 3.38, 4 K 3.40

---

Entry 10:
# NbRhF2

NbRhF2 at its PBEsol-relaxed geometry (SCAN, the Alexandria database).

Summary:
- crystal system = cubic
- total magnetization (μB per cell) = 0.00
- energy above the most stable polymorph in this dataset (meV/atom) = 373

Cell lengths 4.0808, 4.0808, 4.0808 Å; angles 60.00, 60.00, 60.00 degrees
With the nearest neighbours (Å) after each atom.
Element x y z (fractional)
1 Nb 0.0000 0.0000 0.0000  8 F 2.50
2 Rh 0.5000 0.5000 0.5000  8 F 2.50
3 F 0.2500 0.2500 0.2500  4 Nb 2.50, 4 Rh 2.50
4 F 0.7500 0.7500 0.7500  4 Nb 2.50, 4 Rh 2.50

---

Entry 11:
# AlMoAuCl2

AlMoAuCl2 at its PBEsol-relaxed geometry (SCAN, the Alexandria database).

Summary:
- crystal system = tetragonal
- energy (eV for the cell shown) = -123.69
- total magnetization (μB per cell) = 5.46

Cell lengths 5.0456, 5.0456, 4.9360 Å; angles 90.00, 90.00, 90.00 degrees
With the nearest neighbours (Å) after each atom.
Element x y z (fractional)
1 Al 0.0000 0.0000 0.0000  2 Au 2.47
2 Mo 0.5000 0.5000 0.0000  8 Cl 3.53, 4 Al 3.57
3 Au 0.0000 0.0000 0.5000  2 Al 2.47, 4 Cl 2.52
4 Cl 0.0000 0.5000 0.5000  2 Au 2.52
5 Cl 0.5000 0.0000 0.5000  2 Au 2.52

---

Entry 12:
# Y2TeAs

Y2TeAs at its PBEsol-relaxed geometry (SCAN, the Alexandria database).

Summary:
- crystal system = tetragonal
- total magnetization (μB per cell) = 0.00
- energy above the most stable polymorph in this dataset (meV/atom) = 103

Cell lengths 4.1863, 4.1863, 5.9055 Å; angles 90.00, 90.00, 90.00 degrees
With the nearest neighbours (Å) after each atom.
Element x y z (fractional)
1 Y 0.0000 0.0000 0.0000  2 Te 2.95, 4 As 2.96
2 Y 0.5000 0.5000 0.5000  2 As 2.95, 4 Te 2.96
3 Te 0.0000 0.0000 0.5000  6 Y 2.95-2.96
4 As 0.5000 0.5000 0.0000  6 Y 2.95-2.96

---

Entry 13:
# AgHg2Pd

AgHg2Pd at its PBEsol-relaxed geometry (SCAN, the Alexandria database).

Summary:
- crystal system = cubic
- energy relative to the elements (eV per atom) = -0.04
- total magnetization (μB per cell) = 0.00

Cell lengths 4.6433, 4.6433, 4.6433 Å; angles 60.00, 60.00, 60.00 degrees
With the nearest neighbours (Å) after each atom.
Element x y z (fractional)
1 Ag 0.0000 0.0000 0.0000  8 Hg 2.84
2 Hg 0.2500 0.2500 0.2500  4 Pd 2.84, 4 Ag 2.84
3 Hg 0.7500 0.7500 0.7500  4 Pd 2.84, 4 Ag 2.84
4 Pd 0.5000 0.5000 0.5000  8 Hg 2.84

---

Entry 14:
# Ni2Sb2Au

Ni2Sb2Au at its PBEsol-relaxed geometry (SCAN, the Alexandria database).

Summary:
- crystal system = tetragonal
- energy (eV for the cell shown) = -174.81
- total magnetization (μB per cell) = 0.00

Cell lengths 5.0947, 5.0947, 5.0947 Å; angles 121.80, 121.80, 86.90 degrees
With the nearest neighbours (Å) after each atom.
Element x y z (fractional)
1 Ni 0.1512 0.1512 0.0000  1 Ni 2.24
2 Ni 0.8488 0.8488 0.0000  1 Ni 2.24
3 Sb 0.2500 0.7500 0.5000  4 Ni 2.58
4 Sb 0.7500 0.2500 0.5000  4 Ni 2.58
5 Au 0.5000 0.5000 0.0000  2 Ni 2.58

---

Entry 15:
# SbP3Br

SbP3Br at its PBEsol-relaxed geometry (SCAN, the Alexandria database).

Summary:
- crystal system = cubic
- energy (eV for the cell shown) = -80.38
- total magnetization (μB per cell) = 0.00

Cell lengths 4.7806, 4.7806, 4.7806 Å; angles 90.00, 90.00, 90.00 degrees
With the nearest neighbours (Å) after each atom.
Element x y z (fractional)
1 Sb 0.0000 0.0000 0.0000  12 P 3.38
2 P 0.0000 0.5000 0.5000  2 Br 2.39
3 P 0.5000 0.0000 0.5000  2 Br 2.39
4 P 0.5000 0.5000 0.0000  2 Br 2.39
5 Br 0.5000 0.5000 0.5000  6 P 2.39

---

Entry 16:
# Cu2TeSe

Cu2TeSe at its PBEsol-relaxed geometry (SCAN, the Alexandria database).

Summary:
- crystal system = monoclinic
- total magnetization (μB per cell) = 0.00
- energy above the most stable polymorph in this dataset (meV/atom) = 63

Cell lengths 3.6740, 3.6740, 6.4176 Å; angles 106.57, 106.57, 60.12 degrees
With the nearest neighbours (Å) after each atom.
Element x y z (fractional)
1 Cu 0.2425 0.2425 0.2283  3 Se 2.53, 3 Te 2.68-2.69
2 Cu 0.7575 0.7575 0.7717  3 Se 2.53, 3 Te 2.68-2.69
3 Te 0.0000 0.0000 0.5000  6 Cu 2.68-2.69
4 Se 0.5000 0.5000 0.0000  6 Cu 2.53

---

Entry 17:
# LaMo2Br

LaMo2Br at its PBEsol-relaxed geometry (SCAN, the Alexandria database).

Summary:
- crystal system = tetragonal
- total magnetization (μB per cell) = 0.00
- energy above the most stable polymorph in this dataset (meV/atom) = 1018

Cell lengths 3.7644, 3.7644, 5.9340 Å; angles 90.00, 90.00, 90.00 degrees
With the nearest neighbours (Å) after each atom.
Element x y z (fractional)
1 La 0.0000 0.0000 0.0000  2 Br 2.97, 8 Mo 3.24
2 Mo 0.5000 0.5000 0.3121  1 Mo 2.23
3 Mo 0.5000 0.5000 0.6879  1 Mo 2.23
4 Br 0.0000 0.0000 0.5000  8 Mo 2.89, 2 La 2.97

---

Entry 18:
# Mg9Si5

Mg9Si5 at its PBEsol-relaxed geometry (SCAN, the Alexandria database).

Summary:
- crystal system = hexagonal
- total magnetization (μB per cell) = 0.00
- energy above the most stable polymorph in this dataset (meV/atom) = 0

Cell lengths 7.1329, 7.1329, 12.2169 Å; angles 90.00, 90.00, 120.00 degrees
With the nearest neighbours (Å) after each atom.
Element x y z (fractional)
1 Mg 0.0726 0.7263 0.2500  5 Si 2.85-2.90
2 Mg 0.0842 0.6793 0.5828  4 Si 2.65-2.77
3 Mg 0.0842 0.6793 0.9172  4 Si 2.65-2.77
4 Mg 0.2737 0.3462 0.2500  5 Si 2.85-2.90
5 Mg 0.3207 0.4049 0.5828  4 Si 2.65-2.77
6 Mg 0.3207 0.4049 0.9172  4 Si 2.65-2.77
7 Mg 0.3462 0.0726 0.7500  5 Si 2.85-2.90
8 Mg 0.4049 0.0842 0.0828  4 Si 2.65-2.77
9 Mg 0.4049 0.0842 0.4172  4 Si 2.65-2.77
10 Mg 0.5951 0.9158 0.5828  4 Si 2.65-2.77
11 Mg 0.5951 0.9158 0.9172  4 Si 2.65-2.77
12 Mg 0.6538 0.9274 0.2500  5 Si 2.85-2.90
13 Mg 0.6793 0.5951 0.0828  4 Si 2.65-2.77
14 Mg 0.6793 0.5951 0.4172  4 Si 2.65-2.77
15 Mg 0.7263 0.6538 0.7500  5 Si 2.85-2.90
16 Mg 0.9158 0.3207 0.0828  4 Si 2.65-2.77
17 Mg 0.9158 0.3207 0.4172  4 Si 2.65-2.77
18 Mg 0.9274 0.2737 0.7500  5 Si 2.85-2.90
19 Si 0.0000 0.0000 0.1012  1 Si 2.47, 3 Mg 2.65
20 Si 0.0000 0.0000 0.3988  1 Si 2.47, 3 Mg 2.65
21 Si 0.0000 0.0000 0.6012  1 Si 2.47, 3 Mg 2.65
22 Si 0.0000 0.0000 0.8988  1 Si 2.47, 3 Mg 2.65
23 Si 0.3333 0.6667 0.0882  9 Mg 2.76-2.89
24 Si 0.3333 0.6667 0.4118  9 Mg 2.76-2.89
25 Si 0.3333 0.6667 0.7500  9 Mg 2.74-2.85
26 Si 0.6667 0.3333 0.2500  9 Mg 2.74-2.85
27 Si 0.6667 0.3333 0.5882  9 Mg 2.76-2.89
28 Si 0.6667 0.3333 0.9118  9 Mg 2.76-2.89

---

Entry 19:
# KCoIr

KCoIr at its PBEsol-relaxed geometry (SCAN, the Alexandria database).

Summary:
- crystal system = cubic
- energy relative to the elements (eV per atom) = 1.36
- total magnetization (μB per cell) = 3.06
- energy above the most stable polymorph in this dataset (meV/atom) = 580

Cell lengths 4.3465, 4.3465, 4.3465 Å; angles 60.00, 60.00, 60.00 degrees
With the nearest neighbours (Å) after each atom.
Element x y z (fractional)
1 K 0.0000 0.0000 0.0000  4 Co 2.66
2 Co 0.2500 0.2500 0.2500  4 K 2.66, 4 Ir 2.66
3 Ir 0.5000 0.5000 0.5000  4 Co 2.66

---

Entry 20:
# KNa2

KNa2 at its PBEsol-relaxed geometry (SCAN, the Alexandria database).

Summary:
- crystal system = hexagonal
- energy relative to the elements (eV per atom) = -0.01
- total magnetization (μB per cell) = 0.13

Cell lengths 7.3066, 7.3066, 12.0239 Å; angles 90.00, 90.00, 120.00 degrees
With the nearest neighbours (Å) after each atom.
Element x y z (fractional)
1 K 0.3333 0.6667 0.0624  12 Na 4.28-4.30, 4 K 4.48-4.51
2 K 0.3333 0.6667 0.4376  12 Na 4.28-4.30, 4 K 4.48-4.51
3 K 0.6667 0.3333 0.5624  12 Na 4.28-4.30, 4 K 4.48-4.51
4 K 0.6667 0.3333 0.9376  12 Na 4.28-4.30, 4 K 4.48-4.51
5 Na 0.0000 0.0000 0.0000  6 Na 3.68
6 Na 0.0000 0.0000 0.5000  6 Na 3.68
7 Na 0.1684 0.3368 0.7500  6 Na 3.61-3.69
8 Na 0.1684 0.8316 0.7500  6 Na 3.61-3.69
9 Na 0.3368 0.1684 0.2500  6 Na 3.61-3.69
10 Na 0.6632 0.8316 0.7500  6 Na 3.61-3.69
11 Na 0.8316 0.1684 0.2500  6 Na 3.61-3.69
12 Na 0.8316 0.6632 0.2500  6 Na 3.61-3.69

---

Number 1: DOS(E_F) 0.634 states/eV/atom. Number 2: DOS(E_F) 0.427 states/eV/atom. Number 3: DOS(E_F) 1.399 states/eV/atom. Number 4: DOS(E_F) 0.512 states/eV/atom. Number 5: DOS(E_F) 0.000 states/eV/atom. Number 6: DOS(E_F) 0.692 states/eV/atom. Number 7: DOS(E_F) 1.181 states/eV/atom. Number 8: DOS(E_F) 0.830 states/eV/atom. Number 9: DOS(E_F) 0.419 states/eV/atom. Number 10: DOS(E_F) 0.695 states/eV/atom. Number 11: DOS(E_F) 0.754 states/eV/atom. Number 12: DOS(E_F) 0.309 states/eV/atom. Number 13: DOS(E_F) 0.265 states/eV/atom. Number 14: DOS(E_F) 0.467 states/eV/atom. Number 15: DOS(E_F) 0.732 states/eV/atom. Number 16: DOS(E_F) 0.473 states/eV/atom. Number 17: DOS(E_F) 1.105 states/eV/atom. Number 18: DOS(E_F) 0.015 states/eV/atom. Number 19: DOS(E_F) 0.298 states/eV/atom. Number 20: DOS(E_F) 0.501 states/eV/atom.